Record 1
First-principles (GGA-PBE) data for a relaxed K2HoF5 crystal, as listed in Alexandria.

Properties
VASP energy (eV per cell): -177.04
E_form (uncorrected) (meV per atom): -3516

Cell: 6.677 7.297 10.946 Å, 90.00 90.00 90.00°
Element x y z (fractional)
1 F 0.339 0.250 0.689
2 F 0.627 0.250 0.333
3 F 0.646 0.035 0.575
4 F 0.373 0.750 0.667
5 F 0.873 0.250 0.833
6 F 0.146 0.535 0.925
7 F 0.161 0.250 0.189
8 F 0.127 0.750 0.167
9 F 0.854 0.465 0.075
10 F 0.839 0.750 0.811
11 F 0.854 0.035 0.075
12 F 0.646 0.465 0.575
13 F 0.610 0.750 0.014
14 F 0.390 0.250 0.986
15 F 0.146 0.965 0.925
16 F 0.890 0.750 0.514
17 F 0.110 0.250 0.486
18 F 0.354 0.965 0.425
19 F 0.354 0.535 0.425
20 F 0.661 0.750 0.311
21 Ho 0.561 0.750 0.504
22 Ho 0.439 0.250 0.496
23 Ho 0.061 0.250 0.996
24 Ho 0.939 0.750 0.004
25 K 0.034 0.997 0.671
26 K 0.534 0.497 0.829
27 K 0.466 0.503 0.171
28 K 0.034 0.503 0.671
29 K 0.966 0.003 0.329
30 K 0.966 0.497 0.329
31 K 0.534 0.003 0.829
32 K 0.466 0.997 0.171


Record 2
First-principles (GGA-PBE) data for a relaxed K3HoF6 crystal, as listed in Alexandria.

Properties
VASP energy (eV per cell): -52.06
E_form (uncorrected) (meV per atom): -3297

Cell: 6.628 6.628 6.628 Å, 60.00 60.00 60.00°
Element x y z (fractional)
1 F 0.231 0.231 0.769
2 F 0.769 0.231 0.231
3 F 0.769 0.769 0.231
4 F 0.769 0.231 0.769
5 F 0.231 0.769 0.769
6 F 0.231 0.769 0.231
7 K 0.500 0.500 0.500
8 K 0.250 0.250 0.250
9 K 0.750 0.750 0.750
10 Ho 0.000 0.000 0.000


Record 3
First-principles (GGA-PBE) data for a relaxed KHoF4 crystal, as listed in Alexandria.

Properties
VASP energy (eV per cell): -142.01
E_form (uncorrected) (meV per atom): -3724

Cell: 3.603 6.110 15.555 Å, 90.00 90.00 90.00°
Element x y z (fractional)
1 Ho 0.750 0.749 0.059
2 Ho 0.250 0.751 0.559
3 Ho 0.750 0.249 0.441
4 Ho 0.250 0.251 0.941
5 F 0.750 0.367 0.036
6 F 0.250 0.504 0.444
7 F 0.750 0.892 0.630
8 F 0.250 0.096 0.813
9 F 0.750 0.996 0.944
10 F 0.750 0.867 0.464
11 F 0.750 0.496 0.556
12 F 0.250 0.108 0.370
13 F 0.250 0.004 0.056
14 F 0.750 0.392 0.870
15 F 0.250 0.133 0.536
16 F 0.250 0.596 0.687
17 F 0.250 0.608 0.130
18 F 0.750 0.904 0.187
19 F 0.250 0.633 0.964
20 F 0.750 0.404 0.313
21 K 0.250 0.224 0.202
22 K 0.250 0.724 0.298
23 K 0.750 0.776 0.798
24 K 0.750 0.276 0.702


Record 4
First-principles (GGA-PBE) data for a relaxed KLi2HoF6 crystal, as listed in Alexandria.

Properties
VASP energy (eV per cell): -54.33
E_form (uncorrected) (meV per atom): -3360

Cell: 5.637 5.636 5.935 Å, 61.63 61.63 59.99°
Element x y z (fractional)
1 K 0.791 0.791 0.628
2 Li 0.525 0.524 0.426
3 Li 0.024 0.025 0.926
4 F 0.892 0.608 0.230
5 F 0.270 0.892 0.230
6 F 0.608 0.270 0.230
7 F 0.313 0.730 0.758
8 F 0.730 0.199 0.758
9 F 0.199 0.313 0.758
10 Ho 0.311 0.311 0.068


Record 5
First-principles (GGA-PBE) data for a relaxed KLiHoF5 crystal, as listed in Alexandria.

Properties
VASP energy (eV per cell): -90.20
E_form (uncorrected) (meV per atom): -3519

Cell: 6.184 6.184 8.230 Å, 103.56 103.56 107.18°
Element x y z (fractional)
1 F 0.900 0.295 0.114
2 F 0.244 0.370 0.594
3 F 0.075 0.925 0.250
4 F 0.630 0.756 0.906
5 F 0.705 0.100 0.386
6 F 0.756 0.630 0.406
7 F 0.100 0.705 0.886
8 F 0.370 0.244 0.094
9 F 0.295 0.900 0.614
10 F 0.925 0.075 0.750
11 Li 0.315 0.685 0.750
12 Li 0.685 0.315 0.250
13 Ho 0.000 0.000 0.000
14 Ho 0.000 0.000 0.500
15 K 0.660 0.340 0.750
16 K 0.340 0.660 0.250


Record 6
First-principles (GGA-PBE) data for a relaxed K3Li2HoF9 crystal, as listed in Alexandria.

Properties
VASP energy (eV per cell): -73.40
E_form (uncorrected) (meV per atom): -2991

Cell: 5.864 5.864 7.504 Å, 90.00 90.00 120.00°
Element x y z (fractional)
1 K 0.000 0.000 0.000
2 K 0.667 0.333 0.293
3 K 0.333 0.667 0.707
4 F 0.169 0.831 0.326
5 F 0.831 0.169 0.674
6 F 0.339 0.169 0.674
7 F 0.661 0.831 0.326
8 F 0.831 0.661 0.674
9 F 0.169 0.339 0.326
10 F 0.500 0.500 0.000
11 F 0.000 0.500 0.000
12 F 0.500 0.000 0.000
13 Li 0.333 0.667 0.181
14 Li 0.667 0.333 0.819
15 Ho 0.000 0.000 0.500


Record 7
First-principles (GGA-PBE) data for a relaxed KLiHo2F8 crystal, as listed in Alexandria.

Properties
VASP energy (eV per cell): -71.52
E_form (uncorrected) (meV per atom): -3699

Cell: 3.875 5.952 7.538 Å, 97.40 90.00 90.01°
Element x y z (fractional)
1 Li 0.000 0.000 0.000
2 F 0.000 0.362 0.740
3 F 0.500 0.711 0.513
4 F 0.000 0.210 0.209
5 F 0.500 0.275 0.965
6 F 0.000 0.638 0.260
7 F 0.000 0.790 0.791
8 F 0.500 0.725 0.035
9 F 0.500 0.289 0.487
10 Ho 0.500 0.542 0.759
11 Ho 0.500 0.458 0.241
12 K 0.000 0.000 0.500


Record 8
First-principles (GGA-PBE) data for a relaxed K2LiHoF6 crystal, as listed in Alexandria.

Properties
VASP energy (eV per cell): -107.12
E_form (uncorrected) (meV per atom): -3364

Cell: 6.018 6.009 8.520 Å, 90.00 90.10 90.00°
Element x y z (fractional)
1 F 0.540 0.006 0.253
2 F 0.040 0.494 0.753
3 F 0.222 0.228 0.021
4 F 0.460 0.994 0.747
5 F 0.772 0.778 0.521
6 F 0.278 0.728 0.479
7 F 0.728 0.278 0.979
8 F 0.272 0.722 0.021
9 F 0.778 0.772 0.979
10 F 0.228 0.222 0.479
11 F 0.722 0.272 0.521
12 F 0.960 0.506 0.247
13 K 0.502 0.513 0.749
14 K 0.002 0.987 0.249
15 K 0.998 0.013 0.751
16 K 0.498 0.487 0.251
17 Ho 0.500 0.000 0.000
18 Ho 0.000 0.500 0.500
19 Li 0.000 0.500 0.000
20 Li 0.500 0.000 0.500


Record 9
First-principles (GGA-PBE) data for a relaxed KHoMgF6 crystal, as listed in Alexandria.

Properties
VASP energy (eV per cell): -101.78
E_form (uncorrected) (meV per atom): -3599

Cell: 7.520 7.122 7.272 Å, 119.32 121.14 90.00°
Element x y z (fractional)
1 F 0.861 0.111 0.722
2 F 0.417 0.167 0.834
3 F 0.829 0.616 0.267
4 F 0.171 0.848 0.733
5 F 0.561 0.384 0.733
6 F 0.139 0.889 0.278
7 F 0.583 0.833 0.166
8 F 0.439 0.616 0.267
9 F 0.561 0.848 0.733
10 F 0.829 0.152 0.267
11 F 0.171 0.384 0.733
12 F 0.439 0.152 0.267
13 Ho 0.000 0.000 0.500
14 Ho 0.500 0.000 0.500
15 Mg 0.500 0.000 0.000
16 Mg 0.500 0.500 0.000
17 K 0.162 0.412 0.325
18 K 0.838 0.588 0.675


Record 10
First-principles (GGA-PBE) data for a relaxed K2HoMg3F12 crystal, as listed in Alexandria.

Properties
VASP energy (eV per cell): -92.66
E_form (uncorrected) (meV per atom): -3258

Cell: 7.028 7.028 7.028 Å, 64.08 64.08 64.08°
Element x y z (fractional)
1 F 0.277 0.277 0.901
2 F 0.901 0.277 0.277
3 F 0.277 0.901 0.277
4 F 0.879 0.377 0.879
5 F 0.879 0.879 0.377
6 F 0.121 0.121 0.623
7 F 0.121 0.623 0.121
8 F 0.377 0.879 0.879
9 F 0.623 0.121 0.121
10 F 0.723 0.723 0.099
11 F 0.723 0.099 0.723
12 F 0.099 0.723 0.723
13 Ho 0.000 0.000 0.000
14 K 0.612 0.612 0.612
15 K 0.388 0.388 0.388
16 Mg 0.500 0.000 0.000
17 Mg 0.000 0.500 0.000
18 Mg 0.000 0.000 0.500


Total magnetization readings, ordered: 0.1, 0.0, 0.0, 0.2, 0.2, 1.2, 0.0, 0.0, 0.0, 1.2 μB per formula unit